No. 1
# PmAg2AsSe4 PBE-GGA optimized geometry
# Formation energy (no corrections) in meV per atom: -582
# Total magnetization in μB per cell: 0.00
data_PmAg2AsSe4
_chemical_formula_sum 'Pm4 Ag8 As4 Se16'
_cell_length_a 7.929
_cell_length_b 8.348
_cell_length_c 11.558
_cell_angle_alpha 90.00
_cell_angle_beta 90.00
_cell_angle_gamma 90.00
_space_group_name_H-M_alt 'I m m a'
_space_group_IT_number 74
_space_group_name_Hall '-I 2b 2'
loop_
_atom_site_label
_atom_site_type_symbol
_atom_site_fract_x
_atom_site_fract_y
_atom_site_fract_z
Pm1 Pm 0.000 0.000 0.000
Ag1 Ag 0.000 0.000 0.500
Ag2 Ag 0.250 0.250 0.250
As1 As 0.250 0.250 0.750
Se1 Se 0.000 0.015 0.746
Se2 Se 0.243 0.250 0.510

---

No. 2
# NaGaPb PBE-GGA optimized geometry
# DFT formation energy in eV/atom: -0.0820
# Total magnetization in μB per cell: 0.00
data_NaGaPb
_chemical_formula_sum 'Na2 Ga2 Pb2'
_cell_length_a 4.620
_cell_length_b 4.865
_cell_length_c 7.316
_cell_angle_alpha 90.00
_cell_angle_beta 108.24
_cell_angle_gamma 90.00
_space_group_name_H-M_alt 'P 1 21/m 1'
_space_group_IT_number 11
loop_
_space_group_symop_operation_xyz
'x,y,z'
'-x,-y,-z'
'-x,y+1/2,-z'
'x,-y+1/2,z'
loop_
_atom_site_label
_atom_site_type_symbol
_atom_site_fract_x
_atom_site_fract_y
_atom_site_fract_z
Na1 Na 0.092 0.250 0.182
Ga1 Ga 0.254 0.750 0.505
Pb1 Pb 0.385 0.250 0.772

---

No. 3
# La4Y5 PBE-GGA optimized geometry
# DFT formation energy in eV/atom: 0.0331
# Total magnetization in μB per cell: 0.00
# Energy above the most stable polymorph in this dataset in eV/f.u.: 0.06
data_La4Y5
_chemical_formula_sum 'La8 Y10'
_cell_length_a 3.763
_cell_length_b 12.369
_cell_length_c 13.355
_cell_angle_alpha 90.00
_cell_angle_beta 90.00
_cell_angle_gamma 90.00
_space_group_name_H-M_alt 'I m m m'
_space_group_IT_number 71
_space_group_name_Hall '-I 2 2'
loop_
_atom_site_label
_atom_site_type_symbol
_atom_site_fract_x
_atom_site_fract_y
_atom_site_fract_z
La1 La 0.000 0.143 0.189
Y1 Y 0.000 0.202 0.500
Y2 Y 0.000 0.500 0.125
Y3 Y 0.000 0.500 0.500